No. 1
The following is a DFT calculation (GGA-PBE) of a relaxed Si2RhCl crystal.

```
Si2RhCl
1.0
3.106 0.000 0.000
0.000 3.106 0.000
0.000 0.000 7.175
Si Rh Cl
2 1 1
direct
0.000 0.000 0.000
0.500 0.500 0.208
0.500 0.500 0.848
0.000 0.000 0.596
```

Computed properties:
SG	No. 99
polymorph energy (0 for the lowest one)	87	meV/atom


No. 2
The following is a DFT calculation (GGA-PBE) of a relaxed AlGa2S crystal.

```
AlGa2S
1.0
-2.944 2.944 5.598
2.944 -2.944 5.598
2.944 2.944 -5.598
Al Ga S
2 4 2
direct
0.000 0.000 0.000
0.750 0.250 0.500
0.137 0.625 0.012
0.375 0.387 0.512
0.613 0.125 0.988
0.875 0.863 0.488
0.250 0.750 0.500
0.500 0.500 0.000
```

Computed properties:
SG	No. 122
polymorph energy (0 for the lowest one)	0	meV/atom


No. 3
The following is a DFT calculation (GGA-PBE) of a relaxed K2As crystal.

```
K2As
1.0
8.252 0.000 0.000
0.000 5.181 0.000
0.000 0.000 10.557
K As
8 4
direct
0.035 0.250 0.175
0.155 0.250 0.563
0.345 0.750 0.063
0.465 0.750 0.675
0.535 0.250 0.325
0.655 0.250 0.937
0.845 0.750 0.437
0.965 0.750 0.825
0.248 0.250 0.871
0.252 0.750 0.371
0.748 0.250 0.629
0.752 0.750 0.129
```

Computed properties:
E_form	-0.21	eV/atom
SG	No. 62


No. 4
The following is a DFT calculation (GGA-PBE) of a relaxed LiLa2Ag3Sn4 crystal.

```
LiLa2Ag3Sn4
1.0
4.614 0.000 0.000
0.000 4.614 0.000
0.000 0.000 11.665
Li La Ag Sn
1 2 3 4
direct
0.000 0.000 0.000
0.000 0.500 0.761
0.500 0.000 0.239
0.000 0.500 0.359
0.500 0.000 0.641
0.500 0.500 0.000
0.000 0.000 0.500
0.000 0.500 0.130
0.500 0.000 0.870
0.500 0.500 0.500
```

Computed properties:
E_form	-0.46	eV/atom
SG	No. 115


No. 5
The following is a DFT calculation (GGA-PBE) of a relaxed Ag2BiS3 crystal.

```
Ag2BiS3
1.0
3.946 -6.662 0.000
3.946 6.662 0.000
0.000 0.000 5.476
Ag Bi S
4 2 6
direct
0.205 0.205 0.000
0.205 0.205 0.500
0.795 0.795 0.000
0.795 0.795 0.500
0.245 0.755 0.750
0.755 0.245 0.250
0.131 0.869 0.250
0.141 0.435 0.250
0.435 0.141 0.750
0.565 0.859 0.250
0.859 0.565 0.750
0.869 0.131 0.750
```

Computed properties:
SG	No. 63
polymorph energy (0 for the lowest one)	190	meV/atom


No. 6
The following is a DFT calculation (GGA-PBE) of a relaxed Ac2CdIn12Ir3 crystal.

```
Ac2CdIn12Ir3
1.0
4.934 2.849 6.590
-4.934 2.849 6.590
0.000 -5.697 6.590
Ac Cd In Ir
2 1 12 3
direct
0.094 0.094 0.094
0.906 0.906 0.906
0.500 0.500 0.500
0.109 0.645 0.645
0.220 0.220 0.614
0.220 0.614 0.220
0.355 0.355 0.891
0.355 0.891 0.355
0.386 0.780 0.780
0.614 0.220 0.220
0.645 0.109 0.645
0.645 0.645 0.109
0.780 0.386 0.780
0.780 0.780 0.386
0.891 0.355 0.355
0.000 0.500 0.500
0.500 0.000 0.500
0.500 0.500 0.000
```

Computed properties:
E_form	0.04	eV/atom
SG	No. 166


No. 7
The following is a DFT calculation (GGA-PBE) of a relaxed Li2Mg3Rh2 crystal.

```
Li2Mg3Rh2
1.0
1.605 -12.225 0.000
1.605 12.225 0.000
0.000 0.000 3.142
Li Mg Rh
2 3 2
direct
0.202 0.798 0.000
0.798 0.202 0.000
0.378 0.622 0.500
0.500 0.500 0.500
0.622 0.378 0.500
0.065 0.935 0.000
0.935 0.065 0.000
```

Computed properties:
E_form	-0.31	eV/atom
SG	No. 65


No. 8
The following is a DFT calculation (GGA-PBE) of a relaxed HRuSe2 crystal.

```
HRuSe2
1.0
1.908 1.102 5.905
-1.908 1.102 5.905
0.000 -2.203 5.905
H Ru Se
1 1 2
direct
0.000 0.000 0.000
0.500 0.500 0.500
0.099 0.099 0.099
0.901 0.901 0.901
```

Computed properties:
SG	No. 166
polymorph energy (0 for the lowest one)	0	meV/atom


No. 9
The following is a DFT calculation (GGA-PBE) of a relaxed TlTe3P3 crystal.

```
TlTe3P3
1.0
10.257 0.000 0.000
0.000 3.573 0.000
-3.384 0.000 10.938
Tl Te P
2 6 6
direct
0.143 0.250 0.304
0.857 0.750 0.696
0.069 0.250 0.935
0.141 0.750 0.588
0.499 0.250 0.626
0.501 0.750 0.374
0.859 0.250 0.412
0.931 0.750 0.065
0.379 0.250 0.914
0.386 0.750 0.726
0.389 0.750 0.043
0.611 0.250 0.957
0.614 0.250 0.274
0.621 0.750 0.086
```

Computed properties:
SG	No. 11
polymorph energy (0 for the lowest one)	9	meV/atom


No. 10
The following is a DFT calculation (GGA-PBE) of a relaxed NaMgAg2Br6 crystal.

```
NaMgAg2Br6
1.0
6.297 -7.534 0.000
6.297 7.534 0.000
-3.081 0.000 6.666
Na Mg Ag Br
2 2 4 12
direct
0.097 0.903 0.750
0.903 0.097 0.250
0.180 0.820 0.250
0.820 0.180 0.750
0.290 0.462 0.845
0.462 0.290 0.345
0.538 0.710 0.655
0.710 0.538 0.155
0.065 0.205 0.683
0.113 0.644 0.900
0.205 0.065 0.183
0.300 0.473 0.451
0.356 0.887 0.600
0.473 0.300 0.951
0.527 0.700 0.049
0.644 0.113 0.400
0.700 0.527 0.549
0.795 0.935 0.817
0.887 0.356 0.100
0.935 0.795 0.317
```

Computed properties:
SG	No. 15


No. 11
The following is a DFT calculation (GGA-PBE) of a relaxed TbPr2Th3As6 crystal.

```
TbPr2Th3As6
1.0
9.270 -2.129 0.000
9.270 2.129 0.000
-1.930 0.000 8.270
Tb Pr Th As
1 2 3 6
direct
0.000 0.000 0.000
0.334 0.334 0.667
0.666 0.666 0.333
0.000 0.000 0.500
0.333 0.333 0.166
0.667 0.667 0.834
0.165 0.165 0.079
0.165 0.165 0.586
0.498 0.498 0.245
0.502 0.502 0.755
0.835 0.835 0.414
0.835 0.835 0.921
```

Computed properties:
E_form	-1.47	eV/atom
SG	No. 12


No. 12
The following is a DFT calculation (GGA-PBE) of a relaxed CdInW crystal.

```
CdInW
1.0
2.924 0.000 0.000
0.032 5.272 0.000
1.099 0.741 7.745
Cd In W
2 2 2
direct
0.000 0.000 0.000
0.380 0.800 0.326
0.493 0.483 0.014
0.632 0.895 0.663
0.091 0.395 0.654
0.901 0.299 0.366
```

Computed properties:
E_form	0.50	eV/atom
SG	No. 1
polymorph energy (0 for the lowest one)	240	meV/atom


no.,E (eV/atom),total magnetic moment (μB/f.u.)
1,-5.039,0.000
2,-3.539,0.000
3,-2.491,1.012
4,-4.092,0.000
5,-3.587,0.000
6,-3.770,0.000
7,-3.644,0.000
8,-4.961,0.000
9,-3.904,0.000
10,-2.696,0.313
11,-6.830,0.000
12,-5.040,0.000